Material: P2RuPt
Method: DFT, PBE
State: optimized geometry

Output
total magnetization	0.0	Bohr magnetons per cell
excess energy over the best structure of this formula in the dataset	268.0	meV per atom
E_form	-50	kJ/mol of formula units
SG	P2/m, No. 10

The structure in POSCAR format:
```
P2RuPt
1.0
4.003 0.000 0.000
0.000 3.790 0.000
-0.254 0.000 4.189
P Ru Pt
2 1 1
Cartesian
0.592 0.000 1.297
3.157 0.000 2.892
0.000 1.895 0.000
1.874 1.895 2.095
```

=====

Material: PRu2Pt
Method: DFT, PBE
State: optimized geometry

Output
total magnetization	0.0	Bohr magnetons per cell
E_form	166	kJ/mol of formula units
SG	I-42d, No. 122

The structure in POSCAR format:
```
PRu2Pt
1.0
-2.615 2.615 5.721
2.615 -2.615 5.721
2.615 2.615 -5.721
P Ru Pt
2 4 2
Cartesian
0.000 0.000 0.000
0.000 2.615 2.860
3.922 1.095 -1.430
1.095 1.307 1.430
-1.307 1.520 4.291
1.520 1.307 7.151
2.615 0.000 2.860
0.000 0.000 5.721
```

=====

Material: P2RuPt
Method: DFT, PBE
State: optimized geometry

Output
total magnetization	0.0	Bohr magnetons per cell
excess energy over the best structure of this formula in the dataset	637.6	meV per atom
E_form	93	kJ/mol of formula units
SG	Immm, No. 71

The structure in POSCAR format:
```
P2RuPt
1.0
-1.423 2.518 4.078
1.423 -2.518 4.078
1.423 2.518 -4.078
P Ru Pt
2 1 1
Cartesian
0.000 0.000 1.960
0.000 0.000 6.196
1.423 0.000 0.000
0.000 2.518 0.000
```

=====

Material: PRuPt2
Method: DFT, PBE
State: optimized geometry

Output
total magnetization	0.0	Bohr magnetons per cell
E_form	-40	kJ/mol of formula units
SG	P4mm, No. 99

The structure in POSCAR format:
```
PRuPt2
1.0
2.881 0.000 0.000
0.000 2.881 0.000
0.000 0.000 6.957
P Ru Pt
1 1 2
Cartesian
0.000 0.000 0.000
1.440 1.440 5.700
0.000 0.000 3.694
1.440 1.440 1.642
```

=====

Material: PRu2Pt
Method: DFT, PBE
State: optimized geometry

Output
total magnetization	0.0	Bohr magnetons per cell
E_form	-38	kJ/mol of formula units
SG	Cm, No. 8

The structure in POSCAR format:
```
PRu2Pt
1.0
4.800 -1.481 0.000
4.800 1.481 0.000
-2.104 0.000 3.987
P Ru Pt
1 2 1
Cartesian
0.000 0.000 0.000
3.504 0.000 2.393
6.075 0.000 1.299
0.859 0.000 3.629
```

=====

Material: PRuPt2
Method: DFT, PBE
State: optimized geometry

Output
total magnetization	0.0	Bohr magnetons per cell
E_form	-63	kJ/mol of formula units
SG	R3m, No. 160

The structure in POSCAR format:
```
PRuPt2
1.0
1.428 0.824 8.249
-1.428 0.824 8.249
0.000 -1.649 8.249
P Ru Pt
1 1 2
Cartesian
0.000 0.000 0.000
0.000 0.000 18.145
0.000 0.000 6.348
0.000 0.000 12.217
```

=====

Material: P2RuPt
Method: DFT, PBE
State: optimized geometry

Output
total magnetization	0.0	Bohr magnetons per cell
excess energy over the best structure of this formula in the dataset	72.3	meV per atom
E_form	-126	kJ/mol of formula units
SG	I-42d, No. 122

The structure in POSCAR format:
```
P2RuPt
1.0
-2.650 2.650 5.265
2.650 -2.650 5.265
2.650 2.650 -5.265
P Ru Pt
4 2 2
Cartesian
3.975 1.267 -1.316
1.267 1.325 1.316
-1.325 1.383 3.949
1.383 1.325 6.582
0.000 0.000 0.000
0.000 2.650 2.633
2.650 0.000 2.633
0.000 0.000 5.265
```

=====

Material: PRu2Pt
Method: DFT, PBE
State: optimized geometry

Output
total magnetization	0.0	Bohr magnetons per cell
E_form	106	kJ/mol of formula units
SG	Pmmm, No. 47

The structure in POSCAR format:
```
PRu2Pt
1.0
2.761 0.000 0.000
0.000 4.549 0.000
0.000 0.000 4.578
P Ru Pt
1 2 1
Cartesian
0.000 0.000 0.000
0.000 2.274 2.289
1.381 2.274 0.000
1.381 0.000 2.289
```

=====

Material: PRuPt2
Method: DFT, PBE
State: optimized geometry

Output
total magnetization	0.0	Bohr magnetons per cell
E_form	159	kJ/mol of formula units
SG	I-42d, No. 122

The structure in POSCAR format:
```
PRuPt2
1.0
-2.466 2.466 6.472
2.466 -2.466 6.472
2.466 2.466 -6.472
P Ru Pt
2 2 4
Cartesian
0.000 0.000 0.000
0.000 2.466 3.236
2.466 0.000 3.236
0.000 0.000 6.472
3.698 1.026 -1.618
1.026 1.233 1.618
-1.233 1.439 4.854
1.439 1.233 8.090
```

=====

Material: PRu2Pt
Method: DFT, PBE
State: optimized geometry

Output
total magnetization	0.0	Bohr magnetons per cell
E_form	46	kJ/mol of formula units
SG	Cmmm, No. 65

The structure in POSCAR format:
```
PRu2Pt
1.0
1.405 -2.428 0.000
1.405 2.428 0.000
0.000 0.000 8.460
P Ru Pt
1 2 1
Cartesian
0.000 0.000 0.000
1.405 0.000 1.800
1.405 0.000 6.660
0.000 0.000 4.230
```

=====

Material: PRuPt
Method: DFT, PBE
State: optimized geometry

Output
total magnetization	0.0	Bohr magnetons per cell
excess energy over the best structure of this formula in the dataset	593.8	meV per atom
E_form	33	kJ/mol of formula units
SG	F-43m, No. 216

The structure in POSCAR format:
```
PRuPt
1.0
0.000 2.922 2.922
2.922 0.000 2.922
2.922 2.922 0.000
P Ru Pt
1 1 1
Cartesian
0.000 0.000 0.000
4.382 4.382 4.382
2.922 2.922 2.922
```

=====

Material: PRuPt
Method: DFT, PBE
State: optimized geometry

Output
total magnetization	0.0	Bohr magnetons per cell
excess energy over the best structure of this formula in the dataset	610.2	meV per atom
E_form	38	kJ/mol of formula units
SG	Fmm2, No. 42

The structure in POSCAR format:
```
PRuPt
1.0
0.000 2.492 6.023
1.489 0.000 6.023
1.489 2.492 0.000
P Ru Pt
1 1 1
Cartesian
0.000 0.000 0.000
1.489 2.492 4.348
1.489 2.492 7.926
```

=====

Material: PRuPt2
Method: DFT, PBE
State: optimized geometry

Output
total magnetization	0.0	Bohr magnetons per cell
E_form	61	kJ/mol of formula units
SG	I-4m2, No. 119

The structure in POSCAR format:
```
PRuPt2
1.0
-2.051 2.051 3.505
2.051 -2.051 3.505
2.051 2.051 -3.505
P Ru Pt
1 1 2
Cartesian
0.000 0.000 0.000
0.000 2.051 1.752
2.051 0.000 1.752
0.000 0.000 3.505
```

=====

Material: PRuPt
Method: DFT, PBE
State: optimized geometry

Output
total magnetization	0.0	Bohr magnetons per cell
excess energy over the best structure of this formula in the dataset	349.1	meV per atom
E_form	-38	kJ/mol of formula units
SG	I4mm, No. 107

The structure in POSCAR format:
```
PRuPt
1.0
-1.453 1.453 4.999
1.453 -1.453 4.999
1.453 1.453 -4.999
P Ru Pt
1 1 1
Cartesian
0.000 0.000 0.000
0.000 0.000 6.208
0.000 0.000 3.342
```

=====

Material: PRu2Pt
Method: DFT, PBE
State: optimized geometry

Output
total magnetization	0.0	Bohr magnetons per cell
E_form	-35	kJ/mol of formula units
SG	Amm2, No. 38

The structure in POSCAR format:
```
PRu2Pt
1.0
3.745 0.000 0.000
0.000 1.404 5.396
0.000 -1.404 5.396
P Ru Pt
1 2 1
Cartesian
0.000 0.000 0.000
0.000 0.000 8.505
1.872 0.000 4.627
1.872 0.000 1.678
```

=====

Material: P2RuPt
Method: DFT, PBE
State: optimized geometry

Output
total magnetization	0.0	Bohr magnetons per cell
excess energy over the best structure of this formula in the dataset	238.5	meV per atom
E_form	-62	kJ/mol of formula units
SG	R-3m, No. 166

The structure in POSCAR format:
```
P2RuPt
1.0
1.480 0.855 7.400
-1.480 0.855 7.400
0.000 -1.709 7.400
P Ru Pt
2 1 1
Cartesian
0.000 0.000 5.461
0.000 0.000 16.739
0.000 0.000 11.100
0.000 0.000 0.000
```

=====

Material: P2RuPt
Method: DFT, PBE
State: optimized geometry

Output
total magnetization	0.6	Bohr magnetons per cell
excess energy over the best structure of this formula in the dataset	512.7	meV per atom
E_form	44	kJ/mol of formula units
SG	Fm-3m, No. 225

The structure in POSCAR format:
```
P2RuPt
1.0
0.000 3.035 3.035
3.035 0.000 3.035
3.035 3.035 0.000
P Ru Pt
2 1 1
Cartesian
1.517 1.517 1.517
4.552 4.552 4.552
0.000 0.000 0.000
3.035 3.035 3.035
```

=====

Material: PRuPt
Method: DFT, PBE
State: optimized geometry

Output
total magnetization	0.0	Bohr magnetons per cell
excess energy over the best structure of this formula in the dataset	229.9	meV per atom
E_form	-72	kJ/mol of formula units
SG	P3m1, No. 156

The structure in POSCAR format:
```
PRuPt
1.0
3.805 0.000 0.000
-1.903 3.296 0.000
0.000 0.000 3.566
P Ru Pt
1 1 1
Cartesian
0.000 0.000 0.000
0.000 2.197 2.910
1.903 1.099 1.123
```

=====

Material: P2RuPt
Method: DFT, PBE
State: optimized geometry

Output
total magnetization	0.0	Bohr magnetons per cell
excess energy over the best structure of this formula in the dataset	633.3	meV per atom
E_form	91	kJ/mol of formula units
SG	Cmmm, No. 65

The structure in POSCAR format:
```
P2RuPt
1.0
1.424 -2.518 0.000
1.424 2.518 0.000
0.000 0.000 8.192
P Ru Pt
2 1 1
Cartesian
0.000 0.000 1.929
0.000 0.000 6.263
1.424 0.000 0.000
1.424 0.000 4.096
```

=====

Material: PRuPt2
Method: DFT, PBE
State: optimized geometry

Output
total magnetization	1.3	Bohr magnetons per cell
E_form	86	kJ/mol of formula units
SG	I4/mmm, No. 139

The structure in POSCAR format:
```
PRuPt2
1.0
-1.905 1.905 4.096
1.905 -1.905 4.096
1.905 1.905 -4.096
P Ru Pt
1 1 2
Cartesian
0.000 0.000 0.000
0.000 0.000 4.096
1.905 0.000 2.048
0.000 1.905 2.048
```

=====

Material: PRu2Pt
Method: DFT, PBE
State: optimized geometry

Output
total magnetization	0.0	Bohr magnetons per cell
E_form	-59	kJ/mol of formula units
SG	R-3m, No. 166

The structure in POSCAR format:
```
PRu2Pt
1.0
1.403 0.810 8.178
-1.403 0.810 8.178
0.000 -1.621 8.178
P Ru Pt
1 2 1
Cartesian
0.000 0.000 0.000
0.000 0.000 6.429
0.000 0.000 18.104
0.000 0.000 12.267
```

=====

Material: PRuPt2
Method: DFT, PBE
State: optimized geometry

Output
total magnetization	0.4	Bohr magnetons per cell
E_form	86	kJ/mol of formula units
SG	P4/mmm, No. 123

The structure in POSCAR format:
```
PRuPt2
1.0
4.681 0.000 0.000
0.000 4.681 0.000
0.000 0.000 2.750
P Ru Pt
1 1 2
Cartesian
0.000 0.000 0.000
2.341 2.341 0.000
0.000 2.341 1.375
2.341 0.000 1.375
```

=====

Material: P2RuPt
Method: DFT, PBE
State: optimized geometry

Output
total magnetization	0.0	Bohr magnetons per cell
excess energy over the best structure of this formula in the dataset	456.4	meV per atom
E_form	23	kJ/mol of formula units
SG	C2/m, No. 12

The structure in POSCAR format:
```
P2RuPt
1.0
2.770 -3.889 0.000
2.770 3.889 0.000
-2.750 0.000 2.843
P Ru Pt
2 1 1
Cartesian
1.385 1.945 0.000
1.385 -1.945 0.000
-1.375 0.000 1.422
1.395 0.000 1.422
```

=====

Material: PRuPt
Method: DFT, PBE
State: optimized geometry

Output
total magnetization	0.0	Bohr magnetons per cell
excess energy over the best structure of this formula in the dataset	0.0	meV per atom
E_form	-139	kJ/mol of formula units
SG	F-43m, No. 216

The structure in POSCAR format:
```
PRuPt
1.0
0.000 2.806 2.806
2.806 0.000 2.806
2.806 2.806 0.000
P Ru Pt
1 1 1
Cartesian
0.000 0.000 0.000
1.403 1.403 1.403
4.209 4.209 4.209
```

=====

Material: PRu2Pt
Method: DFT, PBE
State: optimized geometry

Output
total magnetization	0.0	Bohr magnetons per cell
E_form	26	kJ/mol of formula units
SG	Cmmm, No. 65

The structure in POSCAR format:
```
PRu2Pt
1.0
2.876 -3.421 0.000
2.876 3.421 0.000
0.000 0.000 2.850
P Ru Pt
1 2 1
Cartesian
0.000 0.000 0.000
1.438 1.711 1.425
1.438 -1.711 1.425
2.876 0.000 0.000
```

=====

Material: P2Ru2Pt
Method: DFT, PBE
State: optimized geometry

Output
total magnetization	0.0	Bohr magnetons per cell
E_form	-120	kJ/mol of formula units
SG	P4/mbm, No. 127

The structure in POSCAR format:
```
P2Ru2Pt
1.0
6.886 0.000 0.000
0.000 6.886 0.000
0.000 0.000 2.840
P Ru Pt
4 4 2
Cartesian
1.034 2.410 0.000
2.410 5.853 0.000
4.477 1.034 0.000
5.853 4.477 0.000
0.989 4.432 1.420
2.454 0.989 1.420
4.432 5.897 1.420
5.897 2.454 1.420
0.000 0.000 0.000
3.443 3.443 0.000
```

=====

Material: P2RuPt
Method: DFT, PBE
State: optimized geometry

Output
total magnetization	0.0	Bohr magnetons per cell
excess energy over the best structure of this formula in the dataset	254.9	meV per atom
E_form	-55	kJ/mol of formula units
SG	C2/m, No. 12

The structure in POSCAR format:
```
P2RuPt
1.0
3.797 -1.503 0.000
3.797 1.503 0.000
-1.058 0.000 4.916
P Ru Pt
2 1 1
Cartesian
1.586 0.000 1.132
4.951 0.000 3.784
3.797 0.000 0.000
-0.529 0.000 2.458
```

=====

Material: PRu2Pt
Method: DFT, PBE
State: optimized geometry

Output
total magnetization	0.0	Bohr magnetons per cell
E_form	-57	kJ/mol of formula units
SG	P2/m, No. 10

The structure in POSCAR format:
```
PRu2Pt
1.0
3.019 0.000 0.000
0.000 3.733 0.000
-1.366 0.000 5.040
P Ru Pt
1 2 1
Cartesian
0.000 0.000 0.000
0.777 1.867 1.157
0.877 1.867 3.884
-0.683 0.000 2.520
```

=====

Material: PRuPt2
Method: DFT, PBE
State: optimized geometry

Output
total magnetization	0.0	Bohr magnetons per cell
E_form	40	kJ/mol of formula units
SG	Cmm2, No. 35

The structure in POSCAR format:
```
PRuPt2
1.0
1.439 -2.464 0.000
1.439 2.464 0.000
0.000 0.000 8.486
P Ru Pt
1 1 2
Cartesian
0.000 0.000 0.000
1.439 0.000 6.756
0.000 0.000 4.372
1.439 0.000 1.950
```

=====

Material: PRu2Pt
Method: DFT, PBE
State: optimized geometry

Output
total magnetization	0.0	Bohr magnetons per cell
E_form	46	kJ/mol of formula units
SG	P4/mmm, No. 123

The structure in POSCAR format:
```
PRu2Pt
1.0
3.924 0.000 0.000
0.000 3.924 0.000
0.000 0.000 3.637
P Ru Pt
1 2 1
Cartesian
0.000 0.000 0.000
0.000 1.962 1.818
1.962 0.000 1.818
1.962 1.962 0.000
```

=====

| no. | calculated total energy (eV/cell) | DOS(E_F) (states/eV per atom) |
| --- | --- | --- |
| 1 | -26.656 | 0.695 |
| 2 | -56.568 | 1.027 |
| 3 | -25.177 | 0.879 |
| 4 | -27.186 | 1.168 |
| 5 | -30.393 | 1.036 |
| 6 | -27.418 | 1.090 |
| 7 | -54.877 | 0.614 |
| 8 | -28.902 | 1.040 |
| 9 | -50.245 | 0.882 |
| 10 | -29.526 | 1.429 |
| 11 | -20.383 | 0.688 |
| 12 | -20.334 | 0.359 |
| 13 | -26.139 | 1.328 |
| 14 | -21.117 | 0.967 |
| 15 | -30.367 | 1.246 |
| 16 | -26.774 | 0.678 |
| 17 | -25.677 | 1.361 |
| 18 | -21.474 | 1.003 |
| 19 | -25.195 | 0.833 |
| 20 | -25.880 | 1.081 |
| 21 | -30.614 | 1.464 |
| 22 | -25.874 | 1.121 |
| 23 | -25.902 | 0.866 |
| 24 | -22.164 | 0.298 |
| 25 | -29.737 | 0.845 |
| 26 | -73.315 | 0.508 |
| 27 | -26.708 | 0.400 |
| 28 | -30.591 | 0.784 |
| 29 | -26.348 | 0.832 |
| 30 | -29.520 | 1.304 |